Entry 1:
PuAlH | PBE-GGA | relaxed

Cell: 2.9893 2.9893 5.9256 Å, 104.61 104.61 90.00°
With the nearest neighbours (Å) after each atom.
Positions (direct):
H 0.0496 0.0496 0.0992  4 Pu 2.24
Al 0.3341 0.3341 0.6682  4 Al 2.99, 5 Pu 3.12-3.21, 5 H 3.15-3.19
Pu 0.6163 0.6163 0.2326  4 H 2.24

As for the polymorph energy (0 for the lowest one): 0 meV per atom.

=====

Entry 2:
PuAl2H7 | PBE-GGA | relaxed

Cell: 3.4746 5.3239 5.3239 Å, 111.84 90.00 90.00°
With the nearest neighbours (Å) after each atom.
Positions (direct):
H 0.5000 0.6778 0.9385  2 Al 1.92
H 0.0000 0.2666 0.7334  2 Al 1.77
H 0.5000 0.3222 0.0615  2 Al 1.92
H 0.5000 0.5000 0.5000  2 Al 1.72
H 0.5000 0.0615 0.3222  2 Al 1.92
H 0.5000 0.9385 0.6778  2 Al 1.92
H 0.0000 0.7334 0.2666  2 Al 1.77
Al 0.5000 0.3051 0.6949  7 H 1.72-1.92
Al 0.5000 0.6949 0.3051  7 H 1.72-1.92
Pu 0.0000 0.0000 0.0000  10 H 2.35-2.38

The raw total energy is -45.14 eV/cell.

=====

Entry 3:
Pu2AlH | PBE-GGA | relaxed

Cell: 2.7004 2.7004 9.6257 Å, 81.94 81.94 60.00°
With the nearest neighbours (Å) after each atom.
Positions (direct):
H 0.5000 0.5000 0.5000  6 Pu 2.30
Pu 0.1075 0.1075 0.6776  3 H 2.30
Pu 0.8925 0.8925 0.3224  3 H 2.30
Al 0.0000 0.0000 0.0000  6 Al 2.70

As for the polymorph energy (0 for the lowest one): 390 meV per atom.

=====

Q: What is the formula in the third record?
A: Pu2AlH